Record 1
DyYCuAu: relaxed, PBE.

Summary:
DFT formation energy	-0.55	eV per atom
theoretical density	9.50	g/cm3
distance to the lowest polymorph of the same formula	18	meV/atom

```
data_DyYCuAu
_space_group_name_H-M_alt 'F -4 3 m'
_space_group_IT_number 216
_space_group_name_Hall 'F -4 2 3'
_cell_length_a 7.101
_cell_length_b 7.101
_cell_length_c 7.101
_cell_angle_alpha 90.00
_cell_angle_beta 90.00
_cell_angle_gamma 90.00
loop_
_atom_site_label
_atom_site_fract_x
_atom_site_fract_y
_atom_site_fract_z
Dy1 0.000 0.000 0.000
Y1 0.000 0.000 0.500
Cu1 0.250 0.250 0.750
Au1 0.250 0.250 0.250
```

Record 2
NaCd2Mo: relaxed, PBE.

Summary:
DFT formation energy	0.97	eV per atom
theoretical density	5.87	g/cm3
distance to the lowest polymorph of the same formula	398	meV/atom

```
data_NaCd2Mo
_space_group_name_H-M_alt 'I -4 2 d'
_space_group_IT_number 122
_space_group_name_Hall 'I -4 2bw'
_cell_length_a 4.373
_cell_length_b 4.373
_cell_length_c 20.344
_cell_angle_alpha 90.00
_cell_angle_beta 90.00
_cell_angle_gamma 90.00
loop_
_atom_site_label
_atom_site_fract_x
_atom_site_fract_y
_atom_site_fract_z
Na1 0.000 0.000 0.000
Cd1 0.237 0.250 0.625
Mo1 0.000 0.000 0.500
```

Record 3
Pr6RhS5: relaxed, PBE.

Summary:
theoretical density	6.15	g/cm3
E_tot	-156.0	eV for the cell shown

```
data_Pr6RhS5
_space_group_name_H-M_alt 'C 1 2/m 1'
_space_group_IT_number 12
_space_group_name_Hall '-C 2y'
_cell_length_a 7.174
_cell_length_b 12.385
_cell_length_c 7.145
_cell_angle_alpha 90.00
_cell_angle_beta 109.51
_cell_angle_gamma 90.00
loop_
_atom_site_label
_atom_site_fract_x
_atom_site_fract_y
_atom_site_fract_z
Pr1 0.248 0.166 0.247
Pr2 0.249 0.000 0.750
Rh1 0.000 0.000 0.000
S1 0.000 0.169 0.500
S2 0.000 0.334 0.000
S3 0.000 0.500 0.500
```

Record 4
K3HoBi2Se6: relaxed, PBE.

Summary:
theoretical density	5.30	g/cm3
E_tot	-100.1	eV for the cell shown

```
data_K3HoBi2Se6
_space_group_name_H-M_alt 'C 1 2/m 1'
_space_group_IT_number 12
_space_group_name_Hall '-C 2y'
_cell_length_a 7.425
_cell_length_b 12.859
_cell_length_c 8.096
_cell_angle_alpha 90.00
_cell_angle_beta 107.80
_cell_angle_gamma 90.00
loop_
_atom_site_label
_atom_site_fract_x
_atom_site_fract_y
_atom_site_fract_z
K1 0.000 0.000 0.000
K2 0.000 0.330 0.000
Ho1 0.000 0.500 0.500
Bi1 0.000 0.166 0.500
Se1 0.232 0.338 0.709
Se2 0.245 0.000 0.710
```

Record 5
Zr2TaNb: relaxed, PBE.

Summary:
DFT formation energy	0.16	eV per atom
theoretical density	9.31	g/cm3
distance to the lowest polymorph of the same formula	6	meV/atom

```
data_Zr2TaNb
_space_group_name_H-M_alt 'F m -3 m'
_space_group_IT_number 225
_space_group_name_Hall '-F 4 2 3'
_cell_length_a 6.880
_cell_length_b 6.880
_cell_length_c 6.880
_cell_angle_alpha 90.00
_cell_angle_beta 90.00
_cell_angle_gamma 90.00
loop_
_atom_site_label
_atom_site_fract_x
_atom_site_fract_y
_atom_site_fract_z
Zr1 0.250 0.250 0.250
Ta1 0.000 0.000 0.000
Nb1 0.000 0.000 0.500
```

Record 6
BeAs2Ir: relaxed, PBE.

Summary:
DFT formation energy	0.36	eV per atom
theoretical density	9.69	g/cm3

```
data_BeAs2Ir
_space_group_name_H-M_alt 'P 4/m m m'
_space_group_IT_number 123
_space_group_name_Hall '-P 4 2'
_cell_length_a 4.102
_cell_length_b 4.102
_cell_length_c 3.573
_cell_angle_alpha 90.00
_cell_angle_beta 90.00
_cell_angle_gamma 90.00
loop_
_atom_site_label
_atom_site_fract_x
_atom_site_fract_y
_atom_site_fract_z
Be1 0.000 0.000 0.000
As1 0.000 0.500 0.500
Ir1 0.500 0.500 0.000
```

Record 7
Gd2B4O9: relaxed, PBE.

Summary:
theoretical density	5.71	g/cm3
E_tot	-284.3	eV for the cell shown

```
data_Gd2B4O9
_space_group_name_H-M_alt 'P -1'
_space_group_IT_number 2
_space_group_name_Hall '-P 1'
_cell_length_a 6.262
_cell_length_b 6.548
_cell_length_c 7.565
_cell_angle_alpha 102.02
_cell_angle_beta 97.01
_cell_angle_gamma 102.43
loop_
_atom_site_label
_atom_site_fract_x
_atom_site_fract_y
_atom_site_fract_z
Gd1 0.048 0.091 0.285
Gd2 0.385 0.677 0.359
B1 0.128 0.357 0.653
B2 0.162 0.678 0.925
B3 0.228 0.334 0.982
B4 0.494 0.148 0.188
O1 0.005 0.785 0.016
O2 0.043 0.536 0.748
O3 0.075 0.814 0.442
O4 0.261 0.264 0.792
O5 0.271 0.568 0.040
O6 0.280 0.404 0.525
O7 0.314 0.862 0.879
O8 0.359 0.280 0.140
O9 0.432 0.046 0.322
```

Record 8
Th4TeRu2: relaxed, PBE.

Summary:
theoretical density	9.43	g/cm3
distance to the lowest polymorph of the same formula	161	meV/atom

```
data_Th4TeRu2
_space_group_name_H-M_alt 'I 21 21 21'
_space_group_IT_number 24
_space_group_name_Hall 'I 2b 2c'
_cell_length_a 8.412
_cell_length_b 10.034
_cell_length_c 10.497
_cell_angle_alpha 90.00
_cell_angle_beta 90.00
_cell_angle_gamma 90.00
loop_
_atom_site_label
_atom_site_fract_x
_atom_site_fract_y
_atom_site_fract_z
Th1 0.001 0.058 0.499
Th2 0.211 0.251 0.239
Te1 0.000 0.250 0.958
Ru1 0.001 0.000 0.250
Ru2 0.250 0.251 0.500
```

Record 9
Cs5MgCl8: relaxed, PBE.

Summary:
theoretical density	2.77	g/cm3
E_tot	-89.2	eV for the cell shown

```
data_Cs5MgCl8
_space_group_name_H-M_alt 'I -4'
_space_group_IT_number 82
_space_group_name_Hall 'I -4'
_cell_length_a 9.947
_cell_length_b 9.947
_cell_length_c 11.772
_cell_angle_alpha 90.00
_cell_angle_beta 90.00
_cell_angle_gamma 90.00
loop_
_atom_site_label
_atom_site_fract_x
_atom_site_fract_y
_atom_site_fract_z
Cs1 0.000 0.000 0.000
Cs2 0.139 0.736 0.382
Mg1 0.000 0.500 0.750
Cl1 0.056 0.717 0.677
Cl2 0.103 0.692 0.090
```

Record 10
TmCdAg4: relaxed, PBE.

Summary:
DFT formation energy	-0.16	eV per atom
theoretical density	9.76	g/cm3
distance to the lowest polymorph of the same formula	0	meV/atom

```
data_TmCdAg4
_space_group_name_H-M_alt 'F -4 3 m'
_space_group_IT_number 216
_space_group_name_Hall 'F -4 2 3'
_cell_length_a 7.858
_cell_length_b 7.858
_cell_length_c 7.858
_cell_angle_alpha 90.00
_cell_angle_beta 90.00
_cell_angle_gamma 90.00
loop_
_atom_site_label
_atom_site_fract_x
_atom_site_fract_y
_atom_site_fract_z
Tm1 0.000 0.000 0.000
Cd1 0.250 0.250 0.750
Ag1 0.125 0.125 0.375
```

Record 11
LaNdMgZr: relaxed, PBE.

Summary:
DFT formation energy	0.12	eV per atom
theoretical density	5.64	g/cm3

```
data_LaNdMgZr
_space_group_name_H-M_alt 'F -4 3 m'
_space_group_IT_number 216
_space_group_name_Hall 'F -4 2 3'
_cell_length_a 7.774
_cell_length_b 7.774
_cell_length_c 7.774
_cell_angle_alpha 90.00
_cell_angle_beta 90.00
_cell_angle_gamma 90.00
loop_
_atom_site_label
_atom_site_fract_x
_atom_site_fract_y
_atom_site_fract_z
La1 0.000 0.000 0.000
Nd1 0.000 0.000 0.500
Mg1 0.250 0.250 0.250
Zr1 0.250 0.250 0.750
```

Record 12
BeRu5: relaxed, PBE.

Summary:
DFT formation energy	-0.03	eV per atom
theoretical density	11.01	g/cm3
distance to the lowest polymorph of the same formula	0	meV/atom

```
data_BeRu5
_space_group_name_H-M_alt 'P 4/m m m'
_space_group_IT_number 123
_space_group_name_Hall '-P 4 2'
_cell_length_a 2.744
_cell_length_b 2.744
_cell_length_c 10.303
_cell_angle_alpha 90.00
_cell_angle_beta 90.00
_cell_angle_gamma 90.00
loop_
_atom_site_label
_atom_site_fract_x
_atom_site_fract_y
_atom_site_fract_z
Be1 0.000 0.000 0.000
Ru1 0.000 0.000 0.313
Ru2 0.500 0.500 0.139
Ru3 0.500 0.500 0.500
```